! TaSnO2 (GGA-PBE, relaxed); values from VASP
! - density of states at the Fermi level (states/eV/cell) = 7.14
! - crystal system = cubic
! - formation energy (no corrections) (meV per atom) = -1427
! - energy (eV/cell) = -62.96
&SYSTEM
  ibrav = 0, nat = 8, ntyp = 3
/
ATOMIC_SPECIES
Ta 180.95 Ta.upf
Sn 118.71 Sn.upf
O 16.00 O.upf
ATOMIC_POSITIONS crystal
Ta 0.125 0.125 0.125
Ta 0.875 0.875 0.875
Sn 0.375 0.375 0.375
Sn 0.625 0.625 0.625
O 0.000 0.000 0.000
O 0.000 0.000 0.500
O 0.000 0.500 0.000
O 0.500 0.000 0.000
CELL_PARAMETERS angstrom
0.000 4.373 4.373
4.373 0.000 4.373
4.373 4.373 0.000